First-principles (GGA-PBE) data for Ba2NaI2 after structural relaxation, as listed in Alexandria.

Properties
As for the density of states at the Fermi level: 7.60 states/eV/cell. The calculation puts the energy relative to the lowest polymorph listed for this composition at 95 meV per atom. The value obtained for the uncorrected formation energy is -4.345 eV per formula unit. As for the total magnetic moment: 0.0 μB/f.u.

Unit cell a=6.5734 b=6.5734 c=12.2966 alpha=90.00 beta=90.00 gamma=90.00
With the nearest neighbours (Å) after each atom.
Space group I4/mmm (No. 139)
Inequivalent atoms, fractional coordinates:
Ba (0.0000, 0.5000, 0.2500) [4 per cell]  4 I 3.46
Na (0.0000, 0.0000, 0.0000) [2 per cell]  2 I 4.14, 8 Ba 4.50
I (0.0000, 0.0000, 0.3369) [4 per cell]  4 Ba 3.46


First-principles (GGA-PBE) data for SrIrF5 after structural relaxation, as listed in Alexandria.

Properties
The value obtained for the uncorrected formation energy is -16.898 eV per formula unit. As for the total magnetic moment: 0.0 μB/f.u.

Unit cell a=9.5799 b=6.9980 c=7.8985 alpha=90.00 beta=114.23 gamma=90.00
With the nearest neighbours (Å) after each atom.
Space group C2/c (No. 15)
Inequivalent atoms, fractional coordinates:
Sr (0.0000, 0.0398, 0.2500) [4 per cell]  7 F 2.36-2.63
Ir (0.0000, 0.5000, 0.0000) [4 per cell]  6 F 2.01-2.06
F (0.0000, 0.4155, 0.2500) [4 per cell]  2 Ir 2.06
F (0.0100, 0.2110, 0.9729) [8 per cell]  1 Ir 2.04
F (0.2297, 0.4771, 0.6182) [8 per cell]  1 Ir 2.01


First-principles (GGA-PBE) data for Ce2LuRe after structural relaxation, as listed in Alexandria.

Properties
The energy is -6.8759 eV per atom. As for the density of states at the Fermi level: 19.86 states/eV/cell. As for the total magnetic moment: 0.0 μB/f.u.

Unit cell a=3.8340 b=3.8340 c=26.4169 alpha=90.00 beta=90.00 gamma=120.00
With the nearest neighbours (Å) after each atom.
Space group R-3m (No. 166, hexagonal axes)
Inequivalent atoms, fractional coordinates:
Ce (0.0000, 0.0000, 0.2291) [6 per cell]  3 Re 2.76
Lu (0.0000, 0.0000, 0.0000) [3 per cell]  6 Ce 3.53, 6 Lu 3.83
Re (0.0000, 0.0000, 0.5000) [3 per cell]  6 Ce 2.76


First-principles (GGA-PBE) data for AsBr2Cl after structural relaxation, as listed in Alexandria.

Properties
As for the density of states at the Fermi level: 5.06 states/eV/cell. The calculation puts the energy relative to the lowest polymorph listed for this composition at 428 meV per atom. The value obtained for the uncorrected formation energy is -0.401 eV per formula unit. As for the total magnetic moment: 0.0 μB/f.u.

Unit cell a=3.4841 b=5.4356 c=13.3937 alpha=90.00 beta=90.00 gamma=90.00
With the nearest neighbours (Å) after each atom.
Space group Imm2 (No. 44)
Inequivalent atoms, fractional coordinates:
As (0.0000, 0.0000, 0.0000) [2 per cell]  2 Cl 2.55, 2 Br 2.66
Br (0.0000, 0.0000, 0.4979) [2 per cell]  4 As 3.23, 2 Cl 3.28, 4 Br 3.40-3.48
Br (0.0000, 0.5000, 0.6504) [2 per cell]  2 As 2.66
Cl (0.0000, 0.5000, 0.3609) [2 per cell]  2 As 2.55


First-principles (GGA-PBE) data for Rb2CaHgAu after structural relaxation, as listed in Alexandria.

Properties
The energy is -1.6149 eV per atom. As for the density of states at the Fermi level: 3.90 states/eV/cell. As for the total magnetic moment: 0.0 μB/f.u.

Unit cell a=6.6016 b=6.6016 c=5.7949 alpha=90.00 beta=90.00 gamma=90.00
With the nearest neighbours (Å) after each atom.
Space group P4/mmm (No. 123)
Inequivalent atoms, fractional coordinates:
Rb (0.0000, 0.5000, 0.0000) [2 per cell]  2 Au 3.30
Ca (0.0000, 0.0000, 0.5000) [1 per cell]  2 Au 2.90
Hg (0.5000, 0.5000, 0.5000) [1 per cell]  8 Rb 4.39, 4 Ca 4.67
Au (0.0000, 0.0000, 0.0000) [1 per cell]  2 Ca 2.90


First-principles (GGA-PBE) data for Pr2YHo6 after structural relaxation, as listed in Alexandria.

Properties
As for the density of states at the Fermi level: 37.31 states/eV/cell. The calculation puts the energy relative to the lowest polymorph listed for this composition at 90 meV per atom. As for the total magnetic moment: 0.0 μB/f.u.

Unit cell a=3.4335 b=10.0718 c=17.3970 alpha=90.00 beta=90.00 gamma=90.00
With the nearest neighbours (Å) after each atom.
Space group Immm (No. 71)
Inequivalent atoms, fractional coordinates:
Pr (0.0000, 0.0000, 0.1686) [4 per cell]  2 Pr 3.43, 8 Ho 3.46-3.57
Y (0.0000, 0.0000, 0.5000) [2 per cell]  2 Y 3.43, 8 Ho 3.45-3.55
Ho (0.0000, 0.1894, 0.3345) [8 per cell]  7 Ho 3.43-3.82, 1 Y 3.45, 3 Pr 3.46-3.57
Ho (0.0000, 0.1915, 0.0000) [4 per cell]  6 Ho 3.43-3.56, 2 Pr 3.51, 2 Y 3.55


First-principles (GGA-PBE) data for AuC2 after structural relaxation, as listed in Alexandria.

Properties
As for the density of states at the Fermi level: 5.50 states/eV/cell. The calculation puts the energy relative to the lowest polymorph listed for this composition at 1947 meV per atom. As for the total magnetic moment: 0.0 μB/f.u.

Unit cell a=4.0374 b=4.0374 c=7.8070 alpha=90.00 beta=90.00 gamma=90.00
With the nearest neighbours (Å) after each atom.
Space group I4_1/amd (No. 141, origin choice 2)
Inequivalent atoms, fractional coordinates:
Au (0.0000, 0.2500, 0.3750) [4 per cell]  4 C 2.36
C (0.0000, 0.2500, 0.7814) [8 per cell]  1 C 1.46


First-principles (GGA-PBE) data for Tm2AlSn3 after structural relaxation, as listed in Alexandria.

Properties
The energy is -4.3081 eV per atom. As for the density of states at the Fermi level: 21.71 states/eV/cell. As for the total magnetic moment: 0.0 μB/f.u.

Unit cell a=13.1262 b=8.2195 c=5.9831 alpha=90.00 beta=90.00 gamma=90.00
With the nearest neighbours (Å) after each atom.
Space group Cmcm (No. 63)
Inequivalent atoms, fractional coordinates:
Tm (0.1325, 0.1813, 0.2500) [8 per cell]  7 Sn 3.10-3.48, 1 Al 3.29
Al (0.0000, 0.4792, 0.7500) [4 per cell]  5 Sn 2.78-2.96, 2 Al 3.01
Sn (0.0000, 0.1411, 0.7500) [4 per cell]  1 Al 2.78
Sn (0.1942, 0.5000, 0.0000) [8 per cell]  2 Al 2.96, 2 Sn 2.99, 4 Tm 3.10-3.12